# 1
! Tb2Y2Ho5 GGA-PBE optimized geometry; values from VASP
&SYSTEM
  ibrav = 0, nat = 9, ntyp = 3
/
ATOMIC_SPECIES
Tb 158.93 Tb.upf
Y 88.91 Y.upf
Ho 164.93 Ho.upf
ATOMIC_POSITIONS angstrom
Tb 1.639 0.000 0.084
Tb 13.022 0.000 5.987
Y 5.981 0.000 4.322
Y 8.680 0.000 1.749
Ho -0.827 0.000 3.036
Ho 2.468 0.000 3.468
Ho 4.995 0.000 0.864
Ho 9.665 0.000 5.207
Ho 12.192 0.000 2.604
CELL_PARAMETERS angstrom
8.157 -2.887 0.000
8.157 2.887 0.000
-1.654 0.000 6.071
! Excess energy over the best structure of this formula in the dataset   0.0 meV per atom
! Fermi-level density of states   2.148 states/eV/atom
! Final energy   -4.89 eV per atom


# 2
! YErGaPd GGA-PBE optimized geometry; values from VASP
&SYSTEM
  ibrav = 0, nat = 4, ntyp = 4
/
ATOMIC_SPECIES
Y 88.91 Y.upf
Er 167.26 Er.upf
Ga 69.72 Ga.upf
Pd 106.42 Pd.upf
ATOMIC_POSITIONS angstrom
Y 0.000 0.000 0.000
Er 2.234 0.000 7.860
Ga 2.234 0.000 4.777
Pd 0.000 0.000 3.084
CELL_PARAMETERS angstrom
4.468 0.000 0.000
0.000 1.863 5.498
0.000 -1.863 5.498
! Excess energy over the best structure of this formula in the dataset   0.0 meV per atom
! Fermi-level density of states   0.782 states/eV/atom
! Final energy   -5.57 eV per atom


# 3
! LaPrNdLu GGA-PBE optimized geometry; values from VASP
&SYSTEM
  ibrav = 0, nat = 4, ntyp = 4
/
ATOMIC_SPECIES
La 138.91 La.upf
Pr 140.91 Pr.upf
Nd 144.24 Nd.upf
Lu 174.97 Lu.upf
ATOMIC_POSITIONS angstrom
La 0.000 0.000 0.000
Pr 4.110 4.110 4.110
Nd 6.165 6.165 6.165
Lu 2.055 2.055 2.055
CELL_PARAMETERS angstrom
0.000 4.110 4.110
4.110 0.000 4.110
4.110 4.110 0.000
! Fermi-level density of states   2.116 states/eV/atom
! Final energy   -4.64 eV per atom